A plane-wave DFT calculation with meta-GGA SCAN was carried out for a crystal of SrPRhS2 relaxed with PBEsol.

```
5
Lattice="-2.8886 -4.3320 0.6834 0.8166 0.2728 5.1804 -4.3137 2.9591 0.5241" Properties=species:S:1:pos:R:3 pbc="T T T"
Sr 0.0000 0.0000 0.0000
S 0.4083 0.1364 2.5902
S -1.4443 -2.1660 0.3417
Rh -3.1929 -0.5501 3.1940
P -2.1568 1.4795 0.2621
```

Properties
space-group type: P4/mmm, No. 123
ΔE_f (raw): 1.280 eV/atom
DOS at the Fermi energy: 4.26 states/eV per cell
V: 145 Å³ per cell

---

A plane-wave DFT calculation with meta-GGA SCAN was carried out for a crystal of TaPRhS2 relaxed with PBEsol.

```
5
Lattice="-2.0956 1.0677 -3.7661 -1.0985 -4.2843 -0.6033 -3.7790 0.6469 2.2862" Properties=species:S:1:pos:R:3 pbc="T T T"
P -1.0478 0.5338 -1.8831
S -1.8895 0.3235 1.1431
S -0.5492 -2.1421 -0.3017
Rh 0.0000 0.0000 0.0000
Ta -3.4865 -1.2848 -1.0416
```

Properties
space-group type: P4/mmm, No. 123
ΔE_f (raw): 0.792 eV/atom
DOS at the Fermi energy: 3.42 states/eV per cell
V: 88 Å³ per cell

---

A plane-wave DFT calculation with meta-GGA SCAN was carried out for a crystal of SbPRh3 relaxed with PBEsol.

```
5
Lattice="4.7301 0.0000 0.0000 0.0000 4.7301 0.0000 0.0000 0.0000 4.7301" Properties=species:S:1:pos:R:3 pbc="T T T"
Sb 0.0000 0.0000 0.0000
Rh 0.0000 2.3650 0.0000
Rh 0.0000 0.0000 2.3650
Rh 2.3650 0.0000 0.0000
P 2.3650 2.3650 2.3650
```

Properties
space-group type: Pm-3m, No. 221
ΔE_f (raw): 1.310 eV/atom
DOS at the Fermi energy: 5.04 states/eV per cell
V: 106 Å³ per cell

---

A plane-wave DFT calculation with meta-GGA SCAN was carried out for a crystal of SbPRh relaxed with PBEsol.

```
3
Lattice="3.0070 0.0000 0.0000 0.0000 3.0070 0.0000 -1.5035 -1.5035 5.8645" Properties=species:S:1:pos:R:3 pbc="T T T"
P 1.5035 1.5035 5.3748
Rh 0.0000 0.0000 4.2235
Sb 1.5035 1.5035 2.1308
```

Properties
space-group type: I4mm, No. 107
ΔE_f (raw): -0.127 eV/atom
DOS at the Fermi energy: 1.75 states/eV per cell
V: 53 Å³ per cell

---

A plane-wave DFT calculation with meta-GGA SCAN was carried out for a crystal of Zn2SbPRh relaxed with PBEsol.

```
5
Lattice="4.3088 0.0000 0.0000 0.0000 4.3088 0.0000 0.0000 0.0000 5.3274" Properties=species:S:1:pos:R:3 pbc="T T T"
Sb 0.0000 0.0000 2.6637
Zn 0.0000 2.1544 0.0000
Zn 2.1544 0.0000 0.0000
Rh 2.1544 2.1544 2.6637
P 0.0000 0.0000 0.0000
```

Properties
space-group type: P4/mmm, No. 123
ΔE_f (raw): 0.698 eV/atom
DOS at the Fermi energy: 2.86 states/eV per cell
V: 99 Å³ per cell

---

A plane-wave DFT calculation with meta-GGA SCAN was carried out for a crystal of ScPRh2 relaxed with PBEsol.

```
4
Lattice="-0.6296 3.3086 0.0696 -3.2882 -0.6335 0.3670 0.5709 0.0010 5.1168" Properties=species:S:1:pos:R:3 pbc="T T T"
P -1.5013 1.3384 4.3201
Rh 0.5445 0.0010 4.8799
Rh -1.8076 1.3379 1.5746
Sc 0.2738 0.0005 2.4540
```

Properties
space-group type: P4mm, No. 99
DFT formation energy: -0.79 eV/atom
DOS at the Fermi energy: 1.09 states/eV per cell
V: 58 Å³ per cell

---

Repeat the fourth record exactly.
A plane-wave DFT calculation with meta-GGA SCAN was carried out for a crystal of SbPRh relaxed with PBEsol.

```
3
Lattice="3.0070 0.0000 0.0000 0.0000 3.0070 0.0000 -1.5035 -1.5035 5.8645" Properties=species:S:1:pos:R:3 pbc="T T T"
P 1.5035 1.5035 5.3748
Rh 0.0000 0.0000 4.2235
Sb 1.5035 1.5035 2.1308
```

Properties
space-group type: I4mm, No. 107
ΔE_f (raw): -0.127 eV/atom
DOS at the Fermi energy: 1.75 states/eV per cell
V: 53 Å³ per cell

---

Among the records above, which one has the lowest DOS at the Fermi energy?
ScPRh2

---

Number 4 is which compound?
SbPRh

---

Copy entry 6 word for word.
A plane-wave DFT calculation with meta-GGA SCAN was carried out for a crystal of ScPRh2 relaxed with PBEsol.

```
4
Lattice="-0.6296 3.3086 0.0696 -3.2882 -0.6335 0.3670 0.5709 0.0010 5.1168" Properties=species:S:1:pos:R:3 pbc="T T T"
P -1.5013 1.3384 4.3201
Rh 0.5445 0.0010 4.8799
Rh -1.8076 1.3379 1.5746
Sc 0.2738 0.0005 2.4540
```

Properties
space-group type: P4mm, No. 99
DFT formation energy: -0.79 eV/atom
DOS at the Fermi energy: 1.09 states/eV per cell
V: 58 Å³ per cell